Crystalline KBa6Sr at its relaxed geometry. Source: Alexandria via LeMat-Bulk, functional PBE-GGA.

As for the density of states at the Fermi level: 1.28 states/eV per atom. The formation energy comes out at 0.0555 eV/atom. Its crystal system is monoclinic. As for the space group: No. 12.

Structure (POSCAR):
```
KBa6Sr
1.0
-3.0688 -4.3880 3.4285
1.8811 0.0241 7.6102
-9.0289 5.7062 5.1175
Sr Ba K
1 6 1
direct
0.0000 0.0000 0.0000
0.2491 0.8740 0.6279
0.5015 0.2405 0.7566
0.4985 0.7595 0.2434
0.7500 0.6226 0.8775
0.7509 0.1260 0.3721
0.2500 0.3774 0.1225
0.0000 0.5000 0.5000
```


Crystalline CsInW3 at its relaxed geometry. Source: Alexandria via LeMat-Bulk, functional PBE-GGA.

As for the density of states at the Fermi level: 1.75 states/eV per atom. The formation energy comes out at 3.1928 eV/atom. Its crystal system is cubic. As for the distance to the lowest polymorph of the same formula: 0.00 eV/f.u. As for the space group: No. 221.

Structure (POSCAR):
```
CsInW3
1.0
5.1559 0.0000 0.0000
0.0000 5.1559 0.0000
0.0000 0.0000 5.1559
W In Cs
3 1 1
direct
0.5000 0.0000 0.0000
0.0000 0.5000 0.0000
0.0000 0.0000 0.5000
0.0000 0.0000 0.0000
0.5000 0.5000 0.5000
```


Crystalline TeP2Pd8 at its relaxed geometry. Source: Alexandria via LeMat-Bulk, functional PBE-GGA.

The value obtained for the uncorrected formation energy is -391 meV per atom. As for the density of states at the Fermi level: 0.37 states/eV per atom. Its crystal system is monoclinic. As for the space group: No. 12.

Structure (POSCAR):
```
TeP2Pd8
1.0
-0.4350 -3.9431 0.2979
6.0748 -0.5332 1.8127
-4.5360 2.9270 5.5551
Pd P Te
8 2 1
direct
0.5950 0.4776 0.1900
0.0432 0.7536 0.0865
0.3184 0.0266 0.6369
0.9568 0.2464 0.9135
0.6816 0.9734 0.3631
0.8047 0.6806 0.6094
0.4050 0.5224 0.8100
0.1953 0.3194 0.3906
0.8154 0.3223 0.6308
0.1846 0.6777 0.3692
0.5000 0.0000 0.0000
```


Crystalline LaTlPt2 at its relaxed geometry. Source: Alexandria via LeMat-Bulk, functional PBE-GGA.

As for the density of states at the Fermi level: 0.60 states/eV per atom. The formation energy comes out at -0.4502 eV/atom. Its crystal system is cubic. As for the space group: No. 216.

Structure (POSCAR):
```
LaTlPt2
1.0
5.0066 0.0000 0.0000
2.5033 4.3359 0.0000
2.5033 1.4453 4.0879
Pt Tl La
2 1 1
direct
0.0000 0.0000 0.0000
0.2500 0.2500 0.2500
0.7500 0.7500 0.7500
0.5000 0.5000 0.5000
```


Crystalline HfAg2Ge at its relaxed geometry. Source: Alexandria via LeMat-Bulk, functional PBE-GGA.

As for the density of states at the Fermi level: 0.57 states/eV per atom. The formation energy comes out at 0.0307 eV/atom. Its crystal system is tetragonal. As for the space group: No. 122.

Structure (POSCAR):
```
HfAg2Ge
1.0
-2.8714 0.7387 2.4853
-0.9126 -3.7591 0.0629
4.7341 -2.9834 9.3675
Ag Ge Hf
4 2 2
direct
0.3750 0.3779 0.7500
0.8750 0.8721 0.7500
0.6221 0.1250 0.2500
0.1279 0.6250 0.2500
0.5000 0.5000 0.0000
0.2500 0.7500 0.5000
0.7500 0.2500 0.5000
0.0000 0.0000 0.0000
```


Crystalline BaInSb3 at its relaxed geometry. Source: Alexandria via LeMat-Bulk, functional PBE-GGA.

The value obtained for the uncorrected formation energy is -352 meV per atom. As for the density of states at the Fermi level: 0.25 states/eV per atom. Its crystal system is orthorhombic. As for the distance to the lowest polymorph of the same formula: 0.00 eV/f.u. As for the space group: No. 31.

Structure (POSCAR):
```
BaInSb3
1.0
5.0033 -0.0021 0.0003
0.0005 8.8657 -0.0014
0.0003 0.0012 7.9025
Ba In Sb
2 2 6
direct
0.9204 0.0983 0.2008
0.4203 0.2544 0.7008
0.7076 0.6756 0.2008
0.2068 0.6774 0.7008
0.8596 0.9454 0.7008
0.4454 0.8907 0.9588
0.9455 0.4620 0.4588
0.9454 0.4620 0.9428
0.3599 0.4075 0.2008
0.4453 0.8907 0.4427
```